# NiPF6, optimized geometry, DFT PBE+U
# E: -4.577 eV per atom
# Fermi-level density of states: 0.00 states/eV/cell
data_NiPF6
_chemical_formula_sum 'Ni1 P1 F6'
_symmetry_space_group_name_H-M 'P -1'
_symmetry_Int_Tables_number 2
_cell_length_a 4.842
_cell_length_b 5.085
_cell_length_c 5.189
_cell_angle_alpha 64.39
_cell_angle_beta 89.14
_cell_angle_gamma 61.94
loop_
_symmetry_equiv_pos_as_xyz
'x,y,z'
'-x,-y,-z'
loop_
_atom_site_label
_atom_site_fract_x
_atom_site_fract_y
_atom_site_fract_z
Ni1 0.000 0.000 0.000
P1 0.500 0.000 0.500
F1 0.169 0.138 0.273
F2 0.278 0.144 0.706
F3 0.474 0.363 0.310